1.
First-principles (PBE) data for Mg4Pd7Au after structural relaxation, as listed in Alexandria via LeMat-Bulk.

energy relative to the lowest polymorph listed for this composition = 0.238 eV/atom
raw total energy = -4.1261 eV per atom
mass density = 8.00 g/cm3
formation energy from the elements = -0.29 eV per atom
density of states at the Fermi level = 0.42 states/eV per atom

Lattice parameters (Å, degrees): 10.5068 4.9743 9.4930 90.00 119.57 90.00
Closest atoms and distances in Å follow each position.
Space group C2/m (No. 12)
Asymmetric unit:
1 Mg 0.0876 0.0000 0.2723  8 Pd 2.61-2.84
2 Mg 0.2472 0.5000 0.1711  5 Pd 2.58-2.80
3 Pd 0.0000 0.0000 0.5000  2 Au 2.49, 2 Pd 2.73, 2 Mg 2.74
4 Pd 0.0598 0.5000 0.8399  4 Pd 2.71-2.92, 3 Mg 2.77-2.84, 1 Au 2.97
5 Pd 0.1411 0.0000 0.0250  5 Mg 2.65-2.80, 4 Pd 2.75-2.92
6 Pd 0.2131 0.5000 0.4220  4 Mg 2.58-2.84, 1 Au 2.68, 4 Pd 2.71-2.80
7 Au 0.0000 0.5000 0.5000  4 Pd 2.49-2.68



2.
First-principles (PBE) data for Mg2PdAu2 after structural relaxation, as listed in Alexandria via LeMat-Bulk.

energy relative to the lowest polymorph listed for this composition = 0.395 eV/atom
raw total energy = -3.1492 eV per atom
mass density = 9.22 g/cm3
formation energy from the elements = -0.16 eV per atom
density of states at the Fermi level = 0.40 states/eV per atom

Lattice parameters (Å, degrees): 4.0542 4.0542 12.0327 90.00 90.00 90.00
Closest atoms and distances in Å follow each position.
Space group I4/mmm (No. 139)
Asymmetric unit:
1 Mg 0.0000 0.5000 0.2500  4 Au 2.64, 4 Mg 2.87
2 Pd 0.0000 0.0000 0.0000  8 Au 3.15
3 Au 0.0000 0.0000 0.3909  1 Au 2.63, 4 Mg 2.64